# PBE Ru2W, relaxed
# * space-group type: Pnma, No. 62
# * formation energy: 0.00 eV/atom
data_Ru2W
_chemical_formula_sum 'Ru8 W4'
_space_group_name_H-M_alt 'P 1'
_space_group_IT_number 1
_cell_length_a 5.3313
_cell_length_b 4.2299
_cell_length_c 7.9234
_cell_angle_alpha 90.00
_cell_angle_beta 90.00
_cell_angle_gamma 90.00
loop_
_space_group_symop_operation_xyz
'x,y,z'
loop_
_atom_site_label
_atom_site_fract_x
_atom_site_fract_y
_atom_site_fract_z
_atom_site_occupancy
Ru1 0.0460 0.2500 0.2168 1
Ru2 0.1668 0.2500 0.5637 1
Ru3 0.3332 0.7500 0.0637 1
Ru4 0.4540 0.7500 0.7168 1
Ru5 0.5460 0.2500 0.2832 1
Ru6 0.6668 0.2500 0.9363 1
Ru7 0.8332 0.7500 0.4363 1
Ru8 0.9540 0.7500 0.7832 1
W1 0.1884 0.2500 0.8939 1
W2 0.3116 0.7500 0.3939 1
W3 0.6884 0.2500 0.6061 1
W4 0.8116 0.7500 0.1061 1

***

# PBE NaGa2Br8, relaxed
# * formation energy from raw total energies: -0.772 eV per atom
# * energy relative to the lowest polymorph listed for this composition: 5.1 kJ/mol of atoms
# * space-group type: P-3m1, No. 164
data_NaGa2Br8
_chemical_formula_sum 'Na1 Ga2 Br8'
_space_group_name_H-M_alt 'P 1'
_space_group_IT_number 1
_cell_length_a 7.8031
_cell_length_b 7.8031
_cell_length_c 8.1707
_cell_angle_alpha 90.00
_cell_angle_beta 90.00
_cell_angle_gamma 120.00
loop_
_space_group_symop_operation_xyz
'x,y,z'
loop_
_atom_site_label
_atom_site_fract_x
_atom_site_fract_y
_atom_site_fract_z
_atom_site_occupancy
Na1 0.0000 0.0000 0.0000 1
Ga1 0.3333 0.6667 0.6616 1
Ga2 0.6667 0.3333 0.3384 1
Br1 0.1664 0.3328 0.7466 1
Br2 0.1664 0.8336 0.7466 1
Br3 0.3328 0.1664 0.2534 1
Br4 0.3333 0.6667 0.3722 1
Br5 0.6667 0.3333 0.6278 1
Br6 0.6672 0.8336 0.7466 1
Br7 0.8336 0.1664 0.2534 1
Br8 0.8336 0.6672 0.2534 1

***

# PBE Zr5Co, relaxed
# * energy relative to the lowest polymorph listed for this composition: 0.0 kJ/mol of atoms
# * space-group type: Cm, No. 8
# * formation energy: -0.08 eV/atom
data_Zr5Co
_chemical_formula_sum 'Zr5 Co1'
_space_group_name_H-M_alt 'P 1'
_space_group_IT_number 1
_cell_length_a 5.6356
_cell_length_b 5.6356
_cell_length_c 7.6434
_cell_angle_alpha 107.08
_cell_angle_beta 107.08
_cell_angle_gamma 33.27
loop_
_space_group_symop_operation_xyz
'x,y,z'
loop_
_atom_site_label
_atom_site_fract_x
_atom_site_fract_y
_atom_site_fract_z
_atom_site_occupancy
Zr1 0.0000 0.0000 0.0000 1
Zr2 0.0469 0.0469 0.4158 1
Zr3 0.3720 0.3720 0.6334 1
Zr4 0.6755 0.6755 0.7840 1
Zr5 0.7495 0.7495 0.2563 1
Co1 0.3144 0.3144 0.0323 1

***

# PBE BaCd2Sb, relaxed
# * formation energy from raw total energies: -0.356 eV per atom
# * space-group type: C2/m, No. 12
data_BaCd2Sb
_chemical_formula_sum 'Ba1 Cd2 Sb1'
_space_group_name_H-M_alt 'P 1'
_space_group_IT_number 1
_cell_length_a 5.7699
_cell_length_b 5.7699
_cell_length_c 5.5955
_cell_angle_alpha 108.17
_cell_angle_beta 108.17
_cell_angle_gamma 47.31
loop_
_space_group_symop_operation_xyz
'x,y,z'
loop_
_atom_site_label
_atom_site_fract_x
_atom_site_fract_y
_atom_site_fract_z
_atom_site_occupancy
Ba1 0.0000 0.0000 0.0000 1
Cd1 0.2298 0.2298 0.6780 1
Cd2 0.7702 0.7702 0.3220 1
Sb1 0.5000 0.5000 0.5000 1

***

# PBE PmCu2Ag2, relaxed
# * space-group type: C2/m, No. 12
# * formation energy: -0.10 eV/atom
data_PmCu2Ag2
_chemical_formula_sum 'Pm1 Cu2 Ag2'
_space_group_name_H-M_alt 'P 1'
_space_group_IT_number 1
_cell_length_a 5.4324
_cell_length_b 5.4324
_cell_length_c 5.0788
_cell_angle_alpha 114.61
_cell_angle_beta 114.61
_cell_angle_gamma 46.71
loop_
_space_group_symop_operation_xyz
'x,y,z'
loop_
_atom_site_label
_atom_site_fract_x
_atom_site_fract_y
_atom_site_fract_z
_atom_site_occupancy
Pm1 0.0000 0.0000 0.0000 1
Cu1 0.2669 0.2669 0.8841 1
Cu2 0.7331 0.7331 0.1159 1
Ag1 0.3521 0.3521 0.4622 1
Ag2 0.6479 0.6479 0.5378 1

***

# PBE Hg4AsF3, relaxed
# * formation energy from raw total energies: -0.861 eV per atom
# * space-group type: Pmn2_1, No. 31
data_Hg4AsF3
_chemical_formula_sum 'Hg8 As2 F6'
_space_group_name_H-M_alt 'P 1'
_space_group_IT_number 1
_cell_length_a 9.3364
_cell_length_b 6.8366
_cell_length_c 7.0250
_cell_angle_alpha 90.00
_cell_angle_beta 90.00
_cell_angle_gamma 90.00
loop_
_space_group_symop_operation_xyz
'x,y,z'
loop_
_atom_site_label
_atom_site_fract_x
_atom_site_fract_y
_atom_site_fract_z
_atom_site_occupancy
Hg1 0.0000 0.1096 0.0000 1
Hg2 0.0000 0.1721 0.4708 1
Hg3 0.1830 0.7023 0.3773 1
Hg4 0.3170 0.2977 0.8773 1
Hg5 0.5000 0.8279 0.9708 1
Hg6 0.5000 0.8904 0.5000 1
Hg7 0.6830 0.2977 0.8773 1
Hg8 0.8170 0.7023 0.3773 1
As1 0.0000 0.8326 0.6094 1
As2 0.5000 0.1674 0.1094 1
F1 0.0000 0.4248 0.2846 1
F2 0.1818 0.3893 0.6493 1
F3 0.3182 0.6107 0.1493 1
F4 0.5000 0.5752 0.7846 1
F5 0.6818 0.6107 0.1493 1
F6 0.8182 0.3893 0.6493 1

***

# PBE PrDy7Y3, relaxed
# * energy relative to the lowest polymorph listed for this composition: 0.0 kJ/mol of atoms
# * space-group type: P2/m, No. 10
# * formation energy: 0.15 eV/atom
data_PrDy7Y3
_chemical_formula_sum 'Pr1 Dy7 Y3'
_space_group_name_H-M_alt 'P 1'
_space_group_IT_number 1
_cell_length_a 7.0036
_cell_length_b 5.5678
_cell_length_c 9.9139
_cell_angle_alpha 90.00
_cell_angle_beta 110.16
_cell_angle_gamma 90.00
loop_
_space_group_symop_operation_xyz
'x,y,z'
loop_
_atom_site_label
_atom_site_fract_x
_atom_site_fract_y
_atom_site_fract_z
_atom_site_occupancy
Pr1 0.0000 0.0000 0.0000 1
Dy1 0.0000 0.0000 0.5000 1
Dy2 0.1462 0.5000 0.7913 1
Dy3 0.3259 0.5000 0.1434 1
Dy4 0.4207 0.0000 0.3317 1
Dy5 0.5793 0.0000 0.6683 1
Dy6 0.6741 0.5000 0.8566 1
Dy7 0.8538 0.5000 0.2087 1
Y1 0.2774 0.5000 0.4982 1
Y2 0.5000 0.0000 0.0000 1
Y3 0.7226 0.5000 0.5018 1

***

# PBE SrSiSe2Br, relaxed
# * formation energy from raw total energies: -0.833 eV per atom
# * energy relative to the lowest polymorph listed for this composition: 0.0 kJ/mol of atoms
# * space-group type: P4/mmm, No. 123
data_SrSiSe2Br
_chemical_formula_sum 'Sr1 Si1 Se2 Br1'
_space_group_name_H-M_alt 'P 1'
_space_group_IT_number 1
_cell_length_a 5.0247
_cell_length_b 5.0247
_cell_length_c 5.1704
_cell_angle_alpha 90.00
_cell_angle_beta 90.00
_cell_angle_gamma 90.00
loop_
_space_group_symop_operation_xyz
'x,y,z'
loop_
_atom_site_label
_atom_site_fract_x
_atom_site_fract_y
_atom_site_fract_z
_atom_site_occupancy
Sr1 0.0000 0.0000 0.0000 1
Si1 0.5000 0.5000 0.5000 1
Se1 0.0000 0.5000 0.5000 1
Se2 0.5000 0.0000 0.5000 1
Br1 0.5000 0.5000 0.0000 1

***

no.,total moment (μB/f.u.)
1,0.0
2,0.8
3,0.0
4,0.0
5,0.0
6,0.0
7,0.0
8,0.0